No. 1
80
Lattice="-9.4967 9.4967 9.4967 9.4967 -9.4967 9.4967 9.4967 9.4967 -9.4967" Properties=species:S:1:pos:R:3 comment="PBE-GGA Cs3Np5Br12, relaxed" magnetic_moment_mub_per_cell=103.4 spacegroup="Ia-3d, No. 230" dos_at_fermi_per_ev_cell=275.89 e_form_raw_ev_per_atom=-1.00 pbc="T T T"
Cs 4.7483 2.3742 0.0000
Cs 9.4967 4.7483 -2.3742
Cs 2.3742 0.0000 4.7483
Cs 11.8709 0.0000 4.7483
Cs 0.0000 4.7483 2.3742
Cs 4.7483 -2.3742 9.4967
Cs 4.7483 11.8709 0.0000
Cs 9.4967 4.7483 7.1225
Cs -2.3742 9.4967 4.7483
Cs 7.1225 9.4967 4.7483
Cs 0.0000 4.7483 11.8709
Cs 4.7483 7.1225 9.4967
Np 0.0000 0.0000 0.0000
Np 4.7483 4.7483 -4.7483
Np 4.7483 -4.7483 4.7483
Np 9.4967 0.0000 0.0000
Np 14.2450 2.3742 0.0000
Np 9.4967 -4.7483 7.1225
Np 7.1225 9.4967 -4.7483
Np 7.1225 0.0000 4.7483
Np 4.7483 7.1225 0.0000
Np 9.4967 4.7483 2.3742
Np -4.7483 4.7483 4.7483
Np 0.0000 9.4967 0.0000
Np 0.0000 0.0000 9.4967
Np 4.7483 4.7483 4.7483
Np 0.0000 4.7483 7.1225
Np 4.7483 2.3742 9.4967
Np 2.3742 9.4967 4.7483
Np 2.3742 0.0000 14.2450
Np 0.0000 14.2450 2.3742
Np -4.7483 7.1225 9.4967
Br 2.7282 -0.5998 1.0768
Br 11.5168 5.8251 -5.3482
Br 8.8969 -1.0768 2.7282
Br 14.8449 -2.0202 3.6716
Br 12.2249 0.5998 1.0768
Br 11.5168 -3.6716 5.3482
Br 1.0768 2.7282 -0.5998
Br 13.1683 4.1485 -2.0202
Br 5.8251 5.3482 -2.0202
Br 8.4199 2.7282 0.5998
Br -0.5998 1.0768 2.7282
Br 5.3482 -2.0202 5.8251
Br 8.8969 8.4199 -2.7282
Br 5.3482 2.0202 3.6716
Br 8.4199 -2.7282 8.8969
Br 5.8251 -5.3482 11.5168
Br 3.6716 5.3482 2.0202
Br 10.5735 6.7685 0.5998
Br 2.7282 8.8969 -1.0768
Br 11.5168 3.6716 4.1485
Br 5.3482 11.5168 -3.6716
Br 8.8969 1.0768 6.7685
Br 2.0202 3.6716 5.3482
Br 2.7282 0.5998 8.4199
Br 6.7685 8.8969 1.0768
Br 7.4765 5.8251 4.1485
Br 0.5998 8.4199 2.7282
Br 4.1485 -2.0202 13.1683
Br -2.0202 5.8251 5.3482
Br 6.7685 0.5998 10.5735
Br -1.0768 2.7282 8.8969
Br 5.8251 4.1485 7.4765
Br 3.6716 14.8449 -2.0202
Br 1.0768 12.2249 0.5998
Br 4.1485 7.4765 5.8251
Br 0.5998 1.0768 12.2249
Br 4.1485 11.5168 3.6716
Br 10.0965 8.4199 6.7685
Br 1.0768 6.7685 8.8969
Br 3.6716 4.1485 11.5168
Br -3.6716 5.3482 11.5168
Br 8.4199 6.7685 10.0965
Br -2.0202 13.1683 4.1485
Br -2.7282 8.8969 8.4199
Br -5.3482 11.5168 5.8251
Br 0.5998 10.5735 6.7685
Br -2.0202 3.6716 14.8449
Br 6.7685 10.0965 8.4199


No. 2
10
Lattice="4.5965 -7.4949 0.0000 4.5965 7.4949 0.0000 0.0000 0.0000 5.7686" Properties=species:S:1:pos:R:3 comment="PBE-GGA CsNp2Br7, relaxed" magnetic_moment_mub_per_cell=8.0 spacegroup="Cmmm, No. 65" dos_at_fermi_per_ev_cell=22.75 e_form_raw_ev_per_atom=-1.41 pbc="T T T"
Cs 0.0000 0.0000 0.0000
Np 4.5965 2.9264 2.8843
Np 4.5965 -2.9264 2.8843
Br 1.7192 2.1079 2.8843
Br 4.5965 3.0389 0.0000
Br 1.7192 -2.1079 2.8843
Br 4.5965 0.0000 2.8843
Br 7.4738 2.1079 2.8843
Br 4.5965 -3.0389 0.0000
Br 7.4738 -2.1079 2.8843


No. 3
32
Lattice="10.4025 0.0000 0.0000 0.0000 8.0606 0.0000 0.0000 0.0000 16.4359" Properties=species:S:1:pos:R:3 comment="PBE-GGA Cs2NpBr5, relaxed" magnetic_moment_mub_per_cell=16.0 spacegroup="Pnma, No. 62" dos_at_fermi_per_ev_cell=24.30 e_form_raw_ev_per_atom=-1.60 pbc="T T T"
Cs 0.3758 2.0152 3.4027
Cs 1.7717 6.0455 6.8365
Cs 3.4296 2.0152 15.0545
Cs 4.8254 6.0455 11.6207
Cs 5.5770 2.0152 4.8152
Cs 6.9729 6.0455 1.3815
Cs 8.6308 2.0152 9.5994
Cs 10.0267 6.0455 13.0332
Np 1.9355 6.0455 1.0255
Np 3.2658 2.0152 9.2434
Np 7.1367 6.0455 7.1925
Np 8.4670 2.0152 15.4104
Br 0.0000 0.0000 0.0000
Br 0.0000 4.0303 0.0000
Br 0.3812 6.0455 3.4047
Br 1.5646 4.0987 10.0926
Br 1.5646 7.9922 10.0926
Br 2.2889 2.0152 6.5059
Br 2.9123 6.0455 14.7238
Br 3.6366 0.0684 1.8746
Br 3.6366 3.9619 1.8746
Br 4.8200 2.0152 11.6227
Br 5.2012 0.0000 8.2179
Br 5.2012 4.0303 8.2179
Br 5.5825 6.0455 4.8132
Br 6.7659 4.0987 14.5613
Br 6.7659 7.9922 14.5613
Br 7.4901 2.0152 1.7121
Br 8.1135 6.0455 9.9300
Br 8.8378 0.0684 6.3433
Br 8.8378 3.9619 6.3433
Br 10.0212 2.0152 13.0312


No. 4
7
Lattice="-2.2944 2.2944 9.3384 2.2944 -2.2944 9.3384 2.2944 2.2944 -9.3384" Properties=species:S:1:pos:R:3 comment="PBE-GGA Cs2NpBr2O2, relaxed" magnetic_moment_mub_per_cell=3.0 spacegroup="I4/mmm, No. 139" dos_at_fermi_per_ev_cell=10.11 e_form_raw_ev_per_atom=-1.98 pbc="T T T"
Cs 0.0000 0.0000 2.3261
Cs 0.0000 0.0000 16.3507
Np 0.0000 0.0000 9.3384
Br 0.0000 0.0000 6.2939
Br 0.0000 0.0000 12.3830
O 2.2944 0.0000 0.0000
O 0.0000 2.2944 0.0000


No. 5
9
Lattice="-3.6790 3.6790 4.8713 3.6790 -3.6790 4.8713 3.6790 3.6790 -4.8713" Properties=species:S:1:pos:R:3 comment="PBE-GGA Cs2NpBr2O4, relaxed" magnetic_moment_mub_per_cell=1.1 spacegroup="I4/mmm, No. 139" dos_at_fermi_per_ev_cell=7.63 e_form_raw_ev_per_atom=-1.91 pbc="T T T"
Cs 3.6790 0.0000 2.4356
Cs 0.0000 3.6790 2.4356
Np 0.0000 0.0000 0.0000
Br 0.0000 0.0000 2.8878
Br 0.0000 0.0000 6.8547
O 1.3164 1.3164 0.0000
O 2.3625 -2.3625 4.8713
O -2.3625 2.3625 4.8713
O 2.3625 2.3625 4.8713


No. 6
9
Lattice="9.7280 0.0000 0.0000 -4.8640 8.4247 0.0000 0.0000 0.0000 3.2845" Properties=species:S:1:pos:R:3 comment="PBE-GGA Cs2NpBr3O3, relaxed" magnetic_moment_mub_per_cell=0.7 spacegroup="P-62m, No. 189" dos_at_fermi_per_ev_cell=7.02 e_form_raw_ev_per_atom=-1.59 pbc="T T T"
Cs 0.0000 5.6165 0.0000
Cs 4.8640 2.8082 0.0000
Np 0.0000 0.0000 1.6422
Br -3.1163 5.3977 1.6422
Br 1.7476 3.0270 1.6422
Br 6.2327 0.0000 1.6422
O -0.6982 1.2093 0.0000
O 1.3964 0.0000 0.0000
O 4.1658 7.2153 0.0000


No. 7
20
Lattice="8.3090 0.0000 0.0000 0.0000 11.9734 0.0000 0.0000 0.0000 8.7672" Properties=species:S:1:pos:R:3 comment="PBE-GGA Cs2NpPbBr6, relaxed" magnetic_moment_mub_per_cell=10.0 spacegroup="Pmmn, No. 59" dos_at_fermi_per_ev_cell=25.06 e_form_raw_ev_per_atom=-1.29 pbc="T T T"
Cs 2.0772 0.2209 1.8865
Cs 2.0772 5.7658 1.8865
Cs 6.2317 6.2076 6.8808
Cs 6.2317 11.7525 6.8808
Np 2.0772 8.9801 6.7262
Np 6.2317 2.9934 2.0410
Pb 2.0772 2.9934 6.3826
Pb 6.2317 8.9801 2.3846
Br 0.0566 8.9801 0.0790
Br 0.0665 2.9934 4.0067
Br 2.0772 6.0626 6.7879
Br 2.0772 11.8975 6.7879
Br 4.0880 2.9934 4.0067
Br 4.0979 8.9801 0.0790
Br 4.2111 2.9934 8.6883
Br 4.2210 8.9801 4.7606
Br 6.2317 0.0759 1.9793
Br 6.2317 5.9108 1.9793
Br 8.2425 8.9801 4.7606
Br 8.2524 2.9934 8.6883


No. 8
9
Lattice="7.0259 0.0000 0.0000 -3.5129 6.0846 0.0000 0.0000 0.0000 8.5373" Properties=species:S:1:pos:R:3 comment="PBE-GGA CsNpPdBr6, relaxed" magnetic_moment_mub_per_cell=2.0 spacegroup="P312, No. 149" dos_at_fermi_per_ev_cell=7.04 e_form_raw_ev_per_atom=-1.09 pbc="T T T"
Cs 0.0000 0.0000 0.0000
Np 0.0000 4.0564 4.2687
Pd 3.5129 2.0282 4.2687
Br 2.5298 0.0367 5.9078
Br 1.2967 2.1725 2.6295
Br 4.4960 0.0367 2.6295
Br 2.2798 3.8753 5.9078
Br 5.7292 2.1725 5.9078
Br 4.7461 3.8753 2.6295


No. 9
10
Lattice="8.0283 0.0000 0.0000 -4.0142 6.9527 0.0000 0.0000 0.0000 6.5373" Properties=species:S:1:pos:R:3 comment="PBE-GGA Cs2NpPdBr6, relaxed" magnetic_moment_mub_per_cell=3.0 spacegroup="P-3m1, No. 164" dos_at_fermi_per_ev_cell=8.09 e_form_raw_ev_per_atom=-1.29 pbc="T T T"
Cs 0.0000 4.6351 1.6830
Cs 4.0142 2.3176 4.8543
Np 0.0000 0.0000 0.0000
Pd 0.0000 0.0000 3.2687
Br 0.0000 2.3388 4.9238
Br -1.9887 5.7833 4.9238
Br 2.0255 1.1694 1.6135
Br 1.9887 5.7833 4.9238
Br 6.0028 1.1694 1.6135
Br 4.0142 4.6139 1.6135


No. 10
20
Lattice="8.3942 0.0000 0.0000 0.0000 8.8873 0.0000 -8.3759 0.0000 12.0673" Properties=species:S:1:pos:R:3 comment="PBE-GGA Cs2RbNpBr6, relaxed" magnetic_moment_mub_per_cell=8.0 spacegroup="P2_1/c, No. 14" dos_at_fermi_per_ev_cell=10.42 e_form_raw_ev_per_atom=-1.64 pbc="T T T"
Cs -0.1873 0.5993 3.0009
Cs -4.3752 3.8443 9.0345
Cs 4.3935 5.0430 3.0328
Cs 0.2056 8.2880 9.0664
Rb 4.1971 0.0000 0.0000
Rb 0.0092 4.4436 6.0336
Np -4.1880 0.0000 6.0336
Np 0.0000 4.4436 0.0000
Br -6.9167 2.0115 11.4064
Br -2.7287 2.4321 5.3728
Br -6.0528 6.0739 11.4557
Br -1.8649 7.2571 5.4221
Br -3.3323 0.3288 8.7844
Br 0.8557 4.1148 2.7508
Br -0.8374 4.7725 9.3165
Br 3.3506 8.5585 3.2829
Br 1.8832 1.6302 6.6452
Br 6.0711 2.8134 0.6115
Br 2.7470 6.4551 6.6945
Br 6.9350 6.8758 0.6609


No. 11
12
Lattice="6.7871 0.0000 0.0000 0.0000 10.9092 0.0000 -1.1652 0.0000 7.3626" Properties=species:S:1:pos:R:3 comment="PBE-GGA CsRb2NpBr8, relaxed" magnetic_moment_mub_per_cell=2.9 spacegroup="P2/m, No. 10" dos_at_fermi_per_ev_cell=12.74 e_form_raw_ev_per_atom=-1.40 pbc="T T T"
Cs 0.0000 0.0000 0.0000
Rb 2.8109 2.7418 3.6813
Rb 2.8109 8.1675 3.6813
Np 0.0000 5.4546 0.0000
Br -0.2062 3.4807 5.7303
Br -0.2062 7.4286 5.7303
Br 2.2699 5.4546 1.5070
Br 2.4194 0.0000 5.5874
Br 3.2025 0.0000 1.7752
Br 3.3520 5.4546 5.8556
Br 5.8281 3.4807 1.6323
Br 5.8281 7.4286 1.6323


No. 12
18
Lattice="8.6509 0.0000 0.0000 -4.3255 7.4919 0.0000 0.0000 0.0000 12.8681" Properties=species:S:1:pos:R:3 comment="PBE-GGA CsRbNpBr6, relaxed" magnetic_moment_mub_per_cell=6.0 spacegroup="P-31c, No. 163" dos_at_fermi_per_ev_cell=10.95 e_form_raw_ev_per_atom=-1.52 pbc="T T T"
Cs 0.0000 4.9946 3.2170
Cs 4.3255 2.4973 9.6511
Rb 0.0000 0.0000 0.0000
Rb 0.0000 0.0000 6.4340
Np 0.0000 4.9946 9.6511
Np 4.3255 2.4973 3.2170
Br -1.0814 2.9933 8.0465
Br -2.2738 5.0588 11.2556
Br 1.0814 2.9933 11.2556
Br -1.1925 6.9317 8.0465
Br 3.1330 0.5602 1.6125
Br 2.0516 2.4331 4.8216
Br 2.2738 5.0588 8.0465
Br 1.1925 6.9317 11.2556
Br 5.5179 0.5602 4.8216
Br 3.2441 4.4986 1.6125
Br 6.5993 2.4331 1.6125
Br 5.4068 4.4986 4.8216